Below is crystalline CaFe2C2 at its relaxed geometry, with properties calculated at the PBE-GGA level.

Properties
density of states at the Fermi level: 1.123 states/eV/f.u.
total energy: -7.6178 eV/atom
formation energy: -143 meV/atom
energy relative to the lowest polymorph listed for this composition: 0.0 kJ per mole of atoms

Cell lengths 5.093, 5.093, 5.471 Å; angles 107.38, 107.38, 111.01 degrees
Atoms (fractional coordinates):
1 Ca 0.875 0.625 0.750
2 Ca 0.125 0.375 0.250
3 Fe 0.243 0.993 0.486
4 Fe 0.493 0.743 0.986
5 Fe 0.757 0.007 0.514
6 Fe 0.507 0.257 0.014
7 C 0.195 0.305 0.750
8 C 0.445 0.055 0.250
9 C 0.555 0.945 0.750
10 C 0.805 0.695 0.250